[1]
Below is a relaxed CdFeNi3 crystal, with properties calculated at the PBE-GGA level.

Cell lengths 4.328, 4.328, 4.328 Å; angles 90.00, 90.00, 90.00 degrees
Space group Pm-3m (No. 221)
One atom of each set of equivalent atoms:
Cd 0.000 0.000 0.000 (multiplicity 1)
Fe 0.500 0.500 0.500 (multiplicity 1)
Ni 0.000 0.500 0.500 (multiplicity 3)

Values from the calculation:
ΔH_f (0 K)   786 meV per atom
ΔE to the lowest computed polymorph   0.0 meV/atom
Density of states at the Fermi level   3.54 states/eV/cell
DFT total energy   -0.335 Ry/atom

---

[2]
Below is a relaxed CsTaAl crystal, with properties calculated at the PBE-GGA level.

Cell lengths 3.673, 4.917, 13.424 Å; angles 82.23, 86.24, 68.16 degrees
Space group P-1 (No. 2)
One atom of each set of equivalent atoms:
Cs 0.235 0.383 0.308 (multiplicity 2)
Ta 0.352 0.315 0.958 (multiplicity 2)
Al 0.063 0.924 0.896 (multiplicity 2)

Values from the calculation:
ΔH_f (0 K)   410 meV per atom
ΔE to the lowest computed polymorph   192.8 meV/atom
Density of states at the Fermi level   4.93 states/eV/cell
DFT total energy   -0.373 Ry/atom

---

[3]
Below is a relaxed BaAlCl2 crystal, with properties calculated at the PBE-GGA level.

Cell lengths 3.805, 5.369, 5.693 Å; angles 90.00, 90.23, 90.00 degrees
Space group Pm (No. 6)
One atom of each set of equivalent atoms:
Ba 0.000 0.000 0.000 (multiplicity 1)
Al 0.500 0.500 0.621 (multiplicity 1)
Cl 0.496 0.000 0.533 (multiplicity 1)
Cl 0.500 0.500 0.192 (multiplicity 1)

Values from the calculation:
ΔE to the lowest computed polymorph   51.8 meV/atom
Formation energy from raw total energies   -1.168 eV/atom
Density of states at the Fermi level   1.11 states/eV/cell
DFT total energy   -0.258 Ry/atom

---

[4]
Below is a relaxed Ca4PtN4 crystal, with properties calculated at the PBE-GGA level.

Cell lengths 6.011, 6.124, 8.360 Å; angles 87.78, 71.05, 74.40 degrees
Space group P-1 (No. 2)
One atom of each set of equivalent atoms:
Ca 0.038 0.240 0.418 (multiplicity 2)
Ca 0.157 0.200 0.015 (multiplicity 2)
Ca 0.284 0.696 0.148 (multiplicity 2)
Ca 0.403 0.288 0.627 (multiplicity 2)
Pt 0.401 0.777 0.758 (multiplicity 2)
N 0.108 0.038 0.759 (multiplicity 2)
N 0.258 0.528 0.882 (multiplicity 2)
N 0.285 0.491 0.391 (multiplicity 2)
N 0.402 0.011 0.221 (multiplicity 2)

Values from the calculation:
Formation energy from raw total energies   -0.488 eV/atom
Density of states at the Fermi level   9.40 states/eV/cell
DFT total energy   -0.423 Ry/atom

---

Number 1: size of the total moment 4.61 μB/f.u.. Number 2: size of the total moment 0.10 μB/f.u.. Number 3: size of the total moment 0.33 μB/f.u.. Number 4: size of the total moment 0.00 μB/f.u..